# Pm2FeNi3As4 | Alexandria | PBE | relaxed
data_Pm2FeNi3As4
_chemical_formula_sum 'Pm2 Fe1 Ni3 As4'
_symmetry_space_group_name_H-M 'P -4 m 2'
_symmetry_Int_Tables_number 115
_cell_length_a 4.1944
_cell_length_b 4.1944
_cell_length_c 9.5212
_cell_angle_alpha 90.00
_cell_angle_beta 90.00
_cell_angle_gamma 90.00
loop_
_symmetry_equiv_pos_as_xyz
'x,y,z'
'y,-x,-z'
'-x,-y,z'
'-y,x,-z'
'-x,y,z'
'-y,-x,-z'
'x,-y,z'
'y,x,-z'
loop_
_atom_site_label
_atom_site_type_symbol
_atom_site_fract_x
_atom_site_fract_y
_atom_site_fract_z
Pm1 Pm 0.0000 0.5000 0.2488
Fe1 Fe 0.0000 0.0000 0.5000
Ni1 Ni 0.0000 0.5000 0.8809
Ni2 Ni 0.5000 0.5000 0.5000
As1 As 0.0000 0.0000 0.0000
As2 As 0.0000 0.5000 0.6297
As3 As 0.5000 0.5000 0.0000
# energy of formation from the pure elements	-0.7683	eV per atom
# E	-6.16	eV/atom
# calculated density	8.14	Mg/m³
# V	16.75	A^3/atom

# Pu2FeNi3As4 | Alexandria | PBE | relaxed
data_Pu2FeNi3As4
_chemical_formula_sum 'Pu2 Fe1 Ni3 As4'
_symmetry_space_group_name_H-M 'P -4 m 2'
_symmetry_Int_Tables_number 115
_cell_length_a 4.1802
_cell_length_b 4.1802
_cell_length_c 9.3915
_cell_angle_alpha 90.00
_cell_angle_beta 90.00
_cell_angle_gamma 90.00
loop_
_symmetry_equiv_pos_as_xyz
'x,y,z'
'y,-x,-z'
'-x,-y,z'
'-y,x,-z'
'-x,y,z'
'-y,-x,-z'
'x,-y,z'
'y,x,-z'
loop_
_atom_site_label
_atom_site_type_symbol
_atom_site_fract_x
_atom_site_fract_y
_atom_site_fract_z
Pu1 Pu 0.0000 0.5000 0.2445
Fe1 Fe 0.0000 0.0000 0.5000
Ni1 Ni 0.0000 0.5000 0.8820
Ni2 Ni 0.5000 0.5000 0.5000
As1 As 0.0000 0.0000 0.0000
As2 As 0.0000 0.5000 0.6324
As3 As 0.5000 0.5000 0.0000
# energy of formation from the pure elements	-0.5806	eV per atom
# E	-7.89	eV/atom
# calculated density	10.32	Mg/m³
# V	16.41	A^3/atom

# FeNiAsRu | Alexandria | PBE | relaxed
data_FeNiAsRu
_chemical_formula_sum 'Fe4 Ni4 As4 Ru4'
_symmetry_space_group_name_H-M 'F -4 3 m'
_symmetry_Int_Tables_number 216
_symmetry_space_group_name_Hall 'F -4 2 3'
_cell_length_a 5.8674
_cell_length_b 5.8674
_cell_length_c 5.8674
_cell_angle_alpha 90.00
_cell_angle_beta 90.00
_cell_angle_gamma 90.00
loop_
_atom_site_label
_atom_site_type_symbol
_atom_site_fract_x
_atom_site_fract_y
_atom_site_fract_z
Fe1 Fe 0.0000 0.0000 0.0000
Ni1 Ni 0.2500 0.2500 0.2500
As1 As 0.2500 0.2500 0.7500
Ru1 Ru 0.0000 0.0000 0.5000
# energy of formation from the pure elements	0.0135	eV per atom
# E	-7.03	eV/atom
# calculated density	9.55	Mg/m³
# V	12.62	A^3/atom

# FeNi2SbAs | Alexandria | PBE | relaxed
data_FeNi2SbAs
_chemical_formula_sum 'Fe1 Ni2 Sb1 As1'
_symmetry_space_group_name_H-M 'P 4/m m m'
_symmetry_Int_Tables_number 123
_symmetry_space_group_name_Hall '-P 4 2'
_cell_length_a 4.4332
_cell_length_b 4.4332
_cell_length_c 4.7162
_cell_angle_alpha 90.00
_cell_angle_beta 90.00
_cell_angle_gamma 90.00
loop_
_atom_site_label
_atom_site_type_symbol
_atom_site_fract_x
_atom_site_fract_y
_atom_site_fract_z
Fe1 Fe 0.0000 0.0000 0.0000
Ni1 Ni 0.0000 0.5000 0.0000
Sb1 Sb 0.0000 0.0000 0.5000
As1 As 0.5000 0.5000 0.5000
# E	-4.94	eV/atom
# ΔE_f (raw)	0.82	eV/atom
# calculated density	6.63	Mg/m³
# V	18.54	A^3/atom

# FeNi7Sb2As2 | Alexandria | PBE | relaxed
data_FeNi7Sb2As2
_chemical_formula_sum 'Fe2 Ni14 Sb4 As4'
_symmetry_space_group_name_H-M 'C 1 2/m 1'
_symmetry_Int_Tables_number 12
_cell_length_a 5.0862
_cell_length_b 5.0851
_cell_length_c 14.4311
_cell_angle_alpha 90.00
_cell_angle_beta 100.09
_cell_angle_gamma 90.00
loop_
_symmetry_equiv_pos_as_xyz
'x,y,z'
'-x,-y,-z'
'-x,y,-z'
'x,-y,z'
'x+1/2,y+1/2,z'
'-x+1/2,-y+1/2,-z'
'-x+1/2,y+1/2,-z'
'x+1/2,-y+1/2,z'
loop_
_atom_site_label
_atom_site_type_symbol
_atom_site_fract_x
_atom_site_fract_y
_atom_site_fract_z
Fe1 Fe 0.0000 0.0000 0.0000
Ni1 Ni 0.0000 0.5000 0.0000
Ni2 Ni 0.1898 0.2501 0.8786
Ni3 Ni 0.1954 0.5000 0.3902
Sb1 Sb 0.2122 0.0000 0.4244
As1 As 0.1131 0.5000 0.2272
# E	-5.60	eV/atom
# ΔE_f (raw)	-0.06	eV/atom
# calculated density	7.77	Mg/m³
# V	15.31	A^3/atom

# Sm2FeNi3As4 | Alexandria | PBE | relaxed
data_Sm2FeNi3As4
_chemical_formula_sum 'Sm2 Fe1 Ni3 As4'
_symmetry_space_group_name_H-M 'P -4 m 2'
_symmetry_Int_Tables_number 115
_cell_length_a 4.1838
_cell_length_b 4.1838
_cell_length_c 9.5092
_cell_angle_alpha 90.00
_cell_angle_beta 90.00
_cell_angle_gamma 90.00
loop_
_symmetry_equiv_pos_as_xyz
'x,y,z'
'y,-x,-z'
'-x,-y,z'
'-y,x,-z'
'-x,y,z'
'-y,-x,-z'
'x,-y,z'
'y,x,-z'
loop_
_atom_site_label
_atom_site_type_symbol
_atom_site_fract_x
_atom_site_fract_y
_atom_site_fract_z
Sm1 Sm 0.0000 0.5000 0.2489
Fe1 Fe 0.0000 0.0000 0.5000
Ni1 Ni 0.0000 0.5000 0.8803
Ni2 Ni 0.5000 0.5000 0.5000
As1 As 0.0000 0.0000 0.0000
As2 As 0.0000 0.5000 0.6300
As3 As 0.5000 0.5000 0.0000
# energy of formation from the pure elements	-0.7626	eV per atom
# E	-6.15	eV/atom
# calculated density	8.30	Mg/m³
# V	16.65	A^3/atom

# FeNi7Sn2As2 | Alexandria | PBE | relaxed
data_FeNi7Sn2As2
_chemical_formula_sum 'Fe2 Ni14 Sn4 As4'
_symmetry_space_group_name_H-M 'C 1 2/m 1'
_symmetry_Int_Tables_number 12
_cell_length_a 5.0500
_cell_length_b 5.0484
_cell_length_c 14.7809
_cell_angle_alpha 90.00
_cell_angle_beta 99.70
_cell_angle_gamma 90.00
loop_
_symmetry_equiv_pos_as_xyz
'x,y,z'
'-x,-y,-z'
'-x,y,-z'
'x,-y,z'
'x+1/2,y+1/2,z'
'-x+1/2,-y+1/2,-z'
'-x+1/2,y+1/2,-z'
'x+1/2,-y+1/2,z'
loop_
_atom_site_label
_atom_site_type_symbol
_atom_site_fract_x
_atom_site_fract_y
_atom_site_fract_z
Fe1 Fe 0.0000 0.0000 0.0000
Ni1 Ni 0.0000 0.5000 0.0000
Ni2 Ni 0.1902 0.2500 0.8783
Ni3 Ni 0.1922 0.5000 0.3838
Sn1 Sn 0.2128 0.0000 0.4253
As1 As 0.1115 0.5000 0.2260
# energy of formation from the pure elements	-0.1388	eV per atom
# E	-5.66	eV/atom
# calculated density	7.64	Mg/m³
# V	15.48	A^3/atom

# SrFeNiAs2 | Alexandria | PBE | relaxed
data_SrFeNiAs2
_chemical_formula_sum 'Sr1 Fe1 Ni1 As2'
_symmetry_space_group_name_H-M 'P 4/m m m'
_symmetry_Int_Tables_number 123
_symmetry_space_group_name_Hall '-P 4 2'
_cell_length_a 5.4738
_cell_length_b 5.4738
_cell_length_c 4.6686
_cell_angle_alpha 90.00
_cell_angle_beta 90.00
_cell_angle_gamma 90.00
loop_
_atom_site_label
_atom_site_type_symbol
_atom_site_fract_x
_atom_site_fract_y
_atom_site_fract_z
Sr1 Sr 0.0000 0.0000 0.0000
Fe1 Fe 0.0000 0.0000 0.5000
Ni1 Ni 0.5000 0.5000 0.5000
As1 As 0.0000 0.5000 0.0000
# energy of formation from the pure elements	2.0625	eV per atom
# E	-2.98	eV/atom
# calculated density	4.18	Mg/m³
# V	27.98	A^3/atom

# SrFeNiAs2 | Alexandria | PBE | relaxed
data_SrFeNiAs2
_chemical_formula_sum 'Sr1 Fe1 Ni1 As2'
_symmetry_space_group_name_H-M 'P 4/m m m'
_symmetry_Int_Tables_number 123
_symmetry_space_group_name_Hall '-P 4 2'
_cell_length_a 4.6787
_cell_length_b 4.6787
_cell_length_c 4.6513
_cell_angle_alpha 90.00
_cell_angle_beta 90.00
_cell_angle_gamma 90.00
loop_
_atom_site_label
_atom_site_type_symbol
_atom_site_fract_x
_atom_site_fract_y
_atom_site_fract_z
Sr1 Sr 0.0000 0.0000 0.0000
Fe1 Fe 0.5000 0.5000 0.5000
Ni1 Ni 0.5000 0.5000 0.0000
As1 As 0.0000 0.5000 0.5000
# energy of formation from the pure elements	-0.0913	eV per atom
# E	-5.14	eV/atom
# calculated density	5.74	Mg/m³
# V	20.36	A^3/atom

# SrFeNiAs2 | Alexandria | PBE | relaxed
data_SrFeNiAs2
_chemical_formula_sum 'Sr2 Fe2 Ni2 As4'
_symmetry_space_group_name_H-M 'I -4 m 2'
_symmetry_Int_Tables_number 119
_symmetry_space_group_name_Hall 'I -4 -2'
_cell_length_a 4.0313
_cell_length_b 4.0313
_cell_length_c 11.5109
_cell_angle_alpha 90.00
_cell_angle_beta 90.00
_cell_angle_gamma 90.00
loop_
_atom_site_label
_atom_site_type_symbol
_atom_site_fract_x
_atom_site_fract_y
_atom_site_fract_z
Sr1 Sr 0.0000 0.0000 0.0000
Fe1 Fe 0.0000 0.5000 0.2500
Ni1 Ni 0.0000 0.5000 0.7500
As1 As 0.0000 0.0000 0.3566
# energy of formation from the pure elements	-0.6011	eV per atom
# E	-5.65	eV/atom
# calculated density	6.25	Mg/m³
# V	18.71	A^3/atom